Material: KBeSbS3
Method: DFT, PBE-GGA
State: relaxed

Computed properties:
space-group type: P2_1/m
total magnetic moment: 0.0 μB per formula unit
formation energy from raw total energies: -0.794 eV per atom
final energy: -4.35 eV per atom

Unit cell a=8.983 b=3.807 c=9.293 alpha=90.00 beta=102.74 gamma=90.00
Element x y z (fractional)
K 0.209 0.250 0.163
K 0.791 0.750 0.837
Be 0.412 0.750 0.919
Be 0.588 0.250 0.081
Sb 0.157 0.250 0.646
Sb 0.843 0.750 0.354
S 0.125 0.750 0.411
S 0.169 0.750 0.853
S 0.496 0.750 0.150
S 0.504 0.250 0.850
S 0.831 0.250 0.147
S 0.875 0.250 0.589

---

Material: K2BeSbS4
Method: DFT, PBE-GGA
State: relaxed

Computed properties:
space-group type: Fddd
total magnetic moment: 0.9 μB per formula unit
formation energy from raw total energies: -0.740 eV per atom
final energy: -4.06 eV per atom

Unit cell a=12.989 b=11.358 c=7.618 alpha=83.92 beta=60.40 gamma=35.68
Element x y z (fractional)
K 0.055 0.055 0.695
K 0.305 0.305 0.945
K 0.695 0.695 0.055
K 0.945 0.945 0.305
Be 0.125 0.125 0.125
Be 0.875 0.875 0.875
Sb 0.375 0.375 0.375
Sb 0.625 0.625 0.625
S 0.065 0.289 0.374
S 0.228 0.626 0.711
S 0.289 0.065 0.772
S 0.374 0.772 0.065
S 0.626 0.228 0.935
S 0.711 0.935 0.228
S 0.772 0.374 0.289
S 0.935 0.711 0.626

---

Material: KScBeS3
Method: DFT, PBE-GGA
State: relaxed

Computed properties:
space-group type: P2_1/m
total magnetic moment: 0.0 μB per formula unit
formation energy from raw total energies: -1.515 eV per atom
final energy: -5.44 eV per atom

Unit cell a=8.705 b=3.692 c=8.967 alpha=90.00 beta=110.71 gamma=90.00
Element x y z (fractional)
K 0.207 0.250 0.235
K 0.793 0.750 0.765
Sc 0.334 0.750 0.858
Sc 0.666 0.250 0.142
Be 0.080 0.250 0.604
Be 0.920 0.750 0.396
S 0.122 0.250 0.846
S 0.177 0.750 0.536
S 0.469 0.750 0.161
S 0.531 0.250 0.839
S 0.823 0.250 0.464
S 0.878 0.750 0.154

---

> Which of these has the lowest final energy?

KScBeS3